The following is a DFT calculation (PBE) of K2NpBr4O2 after structural relaxation.

Cell lengths 12.248, 7.873, 5.854 Å; angles 90.00, 92.34, 90.00 degrees
Space group C2/m (No. 12)
Symmetry-distinct sites (fractional):
K 0.155 0.000 0.252 [4 per cell]
Np 0.000 0.500 0.500 [2 per cell]
Br 0.116 0.240 0.743 [8 per cell]
O 0.106 0.500 0.300 [4 per cell]

Summary:
Density = 3.9 g cm⁻³
ΔE_f (raw) = -1.87 eV per atom